1.
Material: Pr5Dy4Tl2
Method: DFT, GGA-PBE
State: relaxed

Results
Total DFT energy (no corrections) = -4.312 eV per atom
Total magnetization = 0.0 μB/cell
SG = P2/m
Crystal system = monoclinic

Unit cell a=3.6225 b=8.9506 c=11.2193 alpha=94.24 beta=90.00 gamma=90.00
Fractional positions:
Tl (0.0000, 0.0851, 0.6555)
Tl (0.0000, 0.9149, 0.3445)
Pr (0.0000, 0.5389, 0.3345)
Pr (0.0000, 0.4611, 0.6655)
Pr (0.0000, 0.5000, 0.0000)
Pr (0.0000, 0.1976, 0.1647)
Pr (0.0000, 0.8024, 0.8353)
Dy (0.5000, 0.2155, 0.4462)
Dy (0.5000, 0.8461, 0.1108)
Dy (0.5000, 0.7845, 0.5538)
Dy (0.5000, 0.1539, 0.8892)

---

2.
Material: Pr7Dy12Tl
Method: DFT, GGA-PBE
State: relaxed

Results
Total DFT energy (no corrections) = -4.382 eV per atom
Total magnetization = 0.0 μB/cell
SG = R-3
Crystal system = trigonal

Unit cell a=8.8018 b=8.8018 c=8.8018 alpha=89.20 beta=89.20 gamma=89.20
Fractional positions:
Dy (0.3409, 0.4616, 0.1219)
Dy (0.0050, 0.3341, 0.8884)
Dy (0.6591, 0.5384, 0.8781)
Dy (0.4616, 0.1219, 0.3409)
Dy (0.5384, 0.8781, 0.6591)
Dy (0.1219, 0.3409, 0.4616)
Dy (0.6659, 0.1116, 0.9950)
Dy (0.1116, 0.9950, 0.6659)
Dy (0.8884, 0.0050, 0.3341)
Dy (0.8781, 0.6591, 0.5384)
Dy (0.3341, 0.8884, 0.0050)
Dy (0.9950, 0.6659, 0.1116)
Pr (0.7864, 0.3789, 0.2306)
Pr (0.2136, 0.6211, 0.7694)
Pr (0.6211, 0.7694, 0.2136)
Pr (0.3789, 0.2306, 0.7864)
Pr (0.5000, 0.5000, 0.5000)
Pr (0.7694, 0.2136, 0.6211)
Pr (0.2306, 0.7864, 0.3789)
Tl (0.0000, 0.0000, 0.0000)

---

3.
Material: Pr5Dy3Tl2
Method: DFT, GGA-PBE
State: relaxed

Results
Total DFT energy (no corrections) = -4.090 eV per atom
Total magnetization = 0.0 μB/cell
SG = Ibam
Crystal system = orthorhombic

Unit cell a=6.6462 b=10.7504 c=10.7504 alpha=91.83 beta=71.99 gamma=71.99
Fractional positions:
Dy (0.3912, 0.3332, 0.8844)
Dy (0.6088, 0.6668, 0.1156)
Dy (0.1088, 0.1156, 0.6668)
Dy (0.7500, 0.0000, 0.0000)
Dy (0.8912, 0.8844, 0.3332)
Dy (0.2500, 0.0000, 0.0000)
Pr (0.7500, 0.5000, 0.5000)
Pr (0.8770, 0.4586, 0.7875)
Pr (0.9988, 0.7512, 0.7512)
Pr (0.2500, 0.5000, 0.5000)
Pr (0.4988, 0.7512, 0.7512)
Pr (0.3770, 0.7875, 0.4586)
Pr (0.5012, 0.2488, 0.2488)
Pr (0.0012, 0.2488, 0.2488)
Pr (0.6230, 0.2125, 0.5414)
Pr (0.1230, 0.5414, 0.2125)
Tl (0.1216, 0.7365, 0.0203)
Tl (0.6216, 0.0203, 0.7365)
Tl (0.8784, 0.2635, 0.9797)
Tl (0.3784, 0.9797, 0.2635)

---

4.
Material: Pr3Dy4Tl
Method: DFT, GGA-PBE
State: relaxed

Results
Total DFT energy (no corrections) = -4.469 eV per atom
Total magnetization = 0.0 μB/cell
SG = P4/mmm
Crystal system = tetragonal

Unit cell a=3.6516 b=3.6516 c=19.4016 alpha=90.00 beta=90.00 gamma=90.00
Fractional positions:
Dy (0.0000, 0.0000, 0.6305)
Dy (0.0000, 0.0000, 0.3695)
Dy (0.0000, 0.0000, 0.8937)
Dy (0.0000, 0.0000, 0.1063)
Pr (0.5000, 0.5000, 0.2366)
Pr (0.5000, 0.5000, 0.7634)
Pr (0.5000, 0.5000, 0.5000)
Tl (0.5000, 0.5000, 0.0000)

---

5.
Material: Pr6DyTl3
Method: DFT, GGA-PBE
State: relaxed

Results
Total DFT energy (no corrections) = -4.143 eV per atom
Total magnetization = 0.0 μB/cell
SG = Cmc2_1
Crystal system = orthorhombic

Unit cell a=7.8810 b=9.7028 c=9.7028 alpha=111.67 beta=90.00 gamma=90.00
Fractional positions:
Pr (0.2794, 0.9573, 0.0427)
Pr (0.6036, 0.2322, 0.3036)
Pr (0.1518, 0.7029, 0.2971)
Pr (0.6036, 0.6964, 0.7678)
Pr (0.2884, 0.0855, 0.4614)
Pr (0.1036, 0.7678, 0.6964)
Pr (0.7884, 0.4614, 0.0855)
Pr (0.7794, 0.0427, 0.9573)
Pr (0.6518, 0.2971, 0.7029)
Pr (0.1036, 0.3036, 0.2322)
Pr (0.2884, 0.5386, 0.9145)
Pr (0.7884, 0.9145, 0.5386)
Tl (0.4317, 0.9882, 0.7194)
Tl (0.8205, 0.5525, 0.4475)
Tl (0.9317, 0.0118, 0.2806)
Tl (0.9317, 0.7194, 0.9882)
Tl (0.4317, 0.2806, 0.0118)
Tl (0.3205, 0.4475, 0.5525)
Dy (0.0859, 0.1886, 0.8114)
Dy (0.5859, 0.8114, 0.1886)

---

6.
Material: PrDyTl3
Method: DFT, GGA-PBE
State: relaxed

Results
Total DFT energy (no corrections) = -3.444 eV per atom
Total magnetization = 0.0 μB/cell
SG = P6_3/mmc
Crystal system = hexagonal

Unit cell a=6.5589 b=7.4153 c=7.4153 alpha=120.00 beta=90.00 gamma=90.00
Fractional positions:
Dy (0.0000, 0.0000, 0.0000)
Dy (0.5000, 0.0000, 0.0000)
Tl (0.2500, 0.8008, 0.6020)
Tl (0.7500, 0.1991, 0.8009)
Tl (0.7500, 0.1992, 0.3980)
Tl (0.2500, 0.3980, 0.1992)
Tl (0.2500, 0.8009, 0.1991)
Tl (0.7500, 0.6020, 0.8008)
Pr (0.7500, 0.6665, 0.3335)
Pr (0.2500, 0.3335, 0.6665)

---

7.
Material: Pr3Dy2Tl4
Method: DFT, GGA-PBE
State: relaxed

Results
Total DFT energy (no corrections) = -3.918 eV per atom
Total magnetization = 0.0 μB/cell
SG = C2/c
Crystal system = monoclinic

Unit cell a=6.3194 b=9.6024 c=9.6024 alpha=70.50 beta=86.18 gamma=86.18
Fractional positions:
Pr (0.9139, 0.9879, 0.7887)
Pr (0.5861, 0.2113, 0.0121)
Pr (0.0861, 0.0121, 0.2113)
Pr (0.4139, 0.7887, 0.9879)
Pr (0.7500, 0.4601, 0.5399)
Pr (0.2500, 0.5399, 0.4601)
Dy (0.3649, 0.8470, 0.5970)
Dy (0.6351, 0.1530, 0.4030)
Dy (0.8649, 0.5970, 0.8470)
Dy (0.1351, 0.4030, 0.1530)
Tl (0.9379, 0.7192, 0.1389)
Tl (0.1200, 0.1942, 0.4699)
Tl (0.0621, 0.2808, 0.8611)
Tl (0.5621, 0.8611, 0.2808)
Tl (0.8800, 0.8058, 0.5301)
Tl (0.3800, 0.5301, 0.8058)
Tl (0.6200, 0.4699, 0.1942)
Tl (0.4379, 0.1389, 0.7192)

---

8.
Material: PrDy6Tl5
Method: DFT, GGA-PBE
State: relaxed

Results
Total DFT energy (no corrections) = -3.957 eV per atom
Total magnetization = 0.0 μB/cell
SG = Immm
Crystal system = orthorhombic

Unit cell a=5.0580 b=8.7604 c=9.1849 alpha=118.48 beta=105.98 gamma=90.00
Fractional positions:
Dy (0.1704, 0.4361, 0.3409)
Dy (0.8296, 0.0952, 0.6591)
Dy (0.8296, 0.5639, 0.6591)
Dy (0.5000, 0.2766, 0.0000)
Dy (0.5000, 0.7234, 0.0000)
Dy (0.1704, 0.9048, 0.3409)
Tl (0.6499, 0.1499, 0.2999)
Tl (0.6811, 0.6811, 0.3623)
Tl (0.3501, 0.8501, 0.7001)
Tl (0.0000, 0.5000, 0.0000)
Tl (0.3189, 0.3189, 0.6377)
Pr (0.0000, 0.0000, 0.0000)